Record 1
# CuTe2Mo | the Alexandria database | PBE-GGA | relaxed
data_CuTe2Mo
_chemical_formula_sum 'Cu1 Te2 Mo1'
_cell_length_a 3.549
_cell_length_b 4.335
_cell_length_c 5.445
_cell_angle_alpha 90.00
_cell_angle_beta 108.94
_cell_angle_gamma 90.00
_space_group_name_H-M_alt 'P 1 m 1'
_space_group_IT_number 6
loop_
_space_group_symop_operation_xyz
'x,y,z'
'x,-y,z'
loop_
_atom_site_label
_atom_site_type_symbol
_atom_site_fract_x
_atom_site_fract_y
_atom_site_fract_z
Cu1 Cu 0.000 0.000 0.000
Te1 Te 0.460 0.500 0.919
Te2 Te 0.742 0.000 0.483
Mo1 Mo 0.170 0.500 0.341
# energy relative to the lowest polymorph listed for this composition	96	meV per atom
# E_form (uncorrected)	0.77	eV per formula unit


Record 2
# NdHo2TlN | the Alexandria database | PBE-GGA | relaxed
data_NdHo2TlN
_chemical_formula_sum 'Nd1 Ho2 Tl1 N1'
_cell_length_a 4.811
_cell_length_b 4.811
_cell_length_c 5.023
_cell_angle_alpha 90.00
_cell_angle_beta 90.00
_cell_angle_gamma 90.00
_space_group_name_H-M_alt 'P 4/m m m'
_space_group_IT_number 123
_space_group_name_Hall '-P 4 2'
loop_
_atom_site_label
_atom_site_type_symbol
_atom_site_fract_x
_atom_site_fract_y
_atom_site_fract_z
Nd1 Nd 0.000 0.000 0.000
Ho1 Ho 0.000 0.500 0.500
Tl1 Tl 0.500 0.500 0.000
N1 N 0.000 0.000 0.500
# E_form (uncorrected)	-4.45	eV per formula unit


Record 3
# TlBrO2 | the Alexandria database | PBE-GGA | relaxed
data_TlBrO2
_chemical_formula_sum 'Tl3 Br3 O6'
_cell_length_a 3.4982
_cell_length_b 3.4982
_cell_length_c 20.7995
_cell_angle_alpha 90.00
_cell_angle_beta 90.00
_cell_angle_gamma 120.00
_space_group_name_H-M_alt 'R -3 m'
_space_group_IT_number 166
_space_group_name_Hall '-R 3 2"'
loop_
_atom_site_label
_atom_site_type_symbol
_atom_site_fract_x
_atom_site_fract_y
_atom_site_fract_z
Tl1 Tl 0.0000 0.0000 0.0000
Br1 Br 0.0000 0.0000 0.5000
O1 O 0.0000 0.0000 0.1246
# energy relative to the lowest polymorph listed for this composition	806	meV per atom
# E_form (uncorrected)	1.85	eV per formula unit


Record 4
# KSbS2 | the Alexandria database | PBE-GGA | relaxed
data_KSbS2
_chemical_formula_sum 'K3 Sb3 S6'
_cell_length_a 3.5157
_cell_length_b 3.5157
_cell_length_c 29.5839
_cell_angle_alpha 90.00
_cell_angle_beta 90.00
_cell_angle_gamma 120.00
_space_group_name_H-M_alt 'R -3 m'
_space_group_IT_number 166
_space_group_name_Hall '-R 3 2"'
loop_
_atom_site_label
_atom_site_type_symbol
_atom_site_fract_x
_atom_site_fract_y
_atom_site_fract_z
K1 K 0.0000 0.0000 0.0000
Sb1 Sb 0.0000 0.0000 0.5000
S1 S 0.0000 0.0000 0.4125
# E_form (uncorrected)	0.29	eV per formula unit


Record 5
# TaPH2I | the Alexandria database | PBE-GGA | relaxed
data_TaPH2I
_chemical_formula_sum 'Ta1 P1 H2 I1'
_cell_length_a 3.888
_cell_length_b 3.888
_cell_length_c 5.499
_cell_angle_alpha 90.00
_cell_angle_beta 90.00
_cell_angle_gamma 90.00
_space_group_name_H-M_alt 'P 4/m m m'
_space_group_IT_number 123
_space_group_name_Hall '-P 4 2'
loop_
_atom_site_label
_atom_site_type_symbol
_atom_site_fract_x
_atom_site_fract_y
_atom_site_fract_z
Ta1 Ta 0.000 0.000 0.000
P1 P 0.500 0.500 0.500
H1 H 0.000 0.500 0.000
I1 I 0.000 0.000 0.500
# VASP energy	-4.218	eV/atom


Record 6
# NpPa2Te | the Alexandria database | PBE-GGA | relaxed
data_NpPa2Te
_chemical_formula_sum 'Np1 Pa2 Te1'
_cell_length_a 4.564
_cell_length_b 4.564
_cell_length_c 4.495
_cell_angle_alpha 90.00
_cell_angle_beta 90.00
_cell_angle_gamma 90.00
_space_group_name_H-M_alt 'P 4/m m m'
_space_group_IT_number 123
_space_group_name_Hall '-P 4 2'
loop_
_atom_site_label
_atom_site_type_symbol
_atom_site_fract_x
_atom_site_fract_y
_atom_site_fract_z
Np1 Np 0.000 0.000 0.000
Pa1 Pa 0.000 0.500 0.500
Te1 Te 0.500 0.500 0.000
# energy relative to the lowest polymorph listed for this composition	0	meV per atom
# E_form (uncorrected)	-0.82	eV per formula unit


Record 7
# KCd4Ag3F12 | the Alexandria database | PBE-GGA | relaxed
data_KCd4Ag3F12
_chemical_formula_sum 'K2 Cd8 Ag6 F24'
_cell_length_a 8.659
_cell_length_b 8.659
_cell_length_c 8.659
_cell_angle_alpha 90.00
_cell_angle_beta 90.00
_cell_angle_gamma 90.00
_space_group_name_H-M_alt 'I m -3'
_space_group_IT_number 204
_space_group_name_Hall '-I 2 2 3'
loop_
_atom_site_label
_atom_site_type_symbol
_atom_site_fract_x
_atom_site_fract_y
_atom_site_fract_z
K1 K 0.000 0.000 0.000
Cd1 Cd 0.250 0.250 0.250
Ag1 Ag 0.000 0.000 0.500
F1 F 0.000 0.186 0.293
# E_form (uncorrected)	-37.75	eV per formula unit


Record 8
# Nd12Sm6Pb | the Alexandria database | PBE-GGA | relaxed
data_Nd12Sm6Pb
_chemical_formula_sum 'Nd36 Sm18 Pb3'
_cell_length_a 13.3538
_cell_length_b 13.3538
_cell_length_c 12.9666
_cell_angle_alpha 90.00
_cell_angle_beta 90.00
_cell_angle_gamma 120.00
_space_group_name_H-M_alt 'R -3 m'
_space_group_IT_number 166
_space_group_name_Hall '-R 3 2"'
loop_
_atom_site_label
_atom_site_type_symbol
_atom_site_fract_x
_atom_site_fract_y
_atom_site_fract_z
Nd1 Nd 0.0000 0.2593 0.0000
Nd2 Nd 0.0614 0.5307 0.1107
Sm1 Sm 0.0904 0.1808 0.7740
Pb1 Pb 0.0000 0.0000 0.0000
# energy of formation	1.22	eV/f.u.